[1]
# Li2BiPbAu4 (PBE-GGA, relaxed)
# - Formation energy from the elements: -2.202 eV per formula unit
# - Crystal system: trigonal
# - Theoretical density: 12.3 g cm⁻³
# - Density of states at the Fermi level: 2.1 states/eV/f.u.
data_Li2BiPbAu4
_cell_length_a 4.8893
_cell_length_b 4.8893
_cell_length_c 23.7671
_cell_angle_alpha 90.00
_cell_angle_beta 90.00
_cell_angle_gamma 120.00
_space_group_name_H-M_alt 'R -3 m'
_space_group_IT_number 166
_space_group_name_Hall '-R 3 2"'
loop_
_atom_site_label
_atom_site_type_symbol
_atom_site_fract_x
_atom_site_fract_y
_atom_site_fract_z
_atom_site_occupancy
Li1 Li 0.0000 0.0000 0.2500 1
Bi1 Bi 0.0000 0.0000 0.0000 1
Pb1 Pb 0.0000 0.0000 0.5000 1
Au1 Au 0.0000 0.0000 0.1262 1
Au2 Au 0.0000 0.0000 0.3753 1

=====

[2]
# Pr2NiSe (PBE-GGA, relaxed)
# - Crystal system: trigonal
# - Theoretical density: 6.5 g cm⁻³
# - Density of states at the Fermi level: 1.6 states/eV/f.u.
# - E_form (uncorrected): -929 meV per atom
data_Pr2NiSe
_cell_length_a 4.0907
_cell_length_b 4.0907
_cell_length_c 22.1477
_cell_angle_alpha 90.00
_cell_angle_beta 90.00
_cell_angle_gamma 120.00
_space_group_name_H-M_alt 'R 3 m'
_space_group_IT_number 160
_space_group_name_Hall 'R 3 -2"'
loop_
_atom_site_label
_atom_site_type_symbol
_atom_site_fract_x
_atom_site_fract_y
_atom_site_fract_z
_atom_site_occupancy
Pr1 Pr 0.0000 0.0000 0.0000 1
Pr2 Pr 0.0000 0.0000 0.1859 1
Ni1 Ni 0.0000 0.0000 0.5930 1
Se1 Se 0.0000 0.0000 0.7600 1